# CdS3O9

CdS3O9 after structural relaxation (PBE-GGA, Alexandria).

a = 7.6650 Å, b = 7.6650 Å, c = 6.7152 Å
α = 90.00°, β = 90.00°, γ = 99.92°
Fractional positions:
Cd 0.1032 0.1032 0.0000
Cd 0.8968 0.8968 0.5000
S 0.2186 0.2186 0.5000
S 0.2938 0.6150 0.9637
S 0.3850 0.7062 0.5363
S 0.6150 0.2938 0.0363
S 0.7062 0.3850 0.4637
S 0.7814 0.7814 0.0000
O 0.0940 0.1459 0.6702
O 0.1459 0.0940 0.3298
O 0.1713 0.4494 0.9968
O 0.1977 0.3993 0.4471
O 0.2205 0.7756 0.5436
O 0.2244 0.7795 0.9564
O 0.3993 0.1977 0.5529
O 0.4042 0.5958 0.7500
O 0.4494 0.1713 0.0032
O 0.5506 0.8287 0.5032
O 0.5958 0.4042 0.2500
O 0.6007 0.8023 0.0529
O 0.7756 0.2205 0.4564
O 0.7795 0.2244 0.0436
O 0.8023 0.6007 0.9471
O 0.8287 0.5506 0.4968
O 0.8541 0.9060 0.8298
O 0.9060 0.8541 0.1702

Summary:
E   -5.44 eV per atom
Raw formation energy   -12.839 eV per formula unit
Symmetry   C222_1, No. 20
Theoretical density   3.01 g/cm³